The following is a GGA-PBEsol calculation of crystalline PtC at its relaxed geometry, from Alexandria via LeMat-Bulk.

a b c (Å): 6.9717 6.9717 6.9717
angles (deg): 26.87 26.87 26.87
With the nearest neighbours (Å) after each atom.
Fractional coordinates of all 4 atoms:
Pt (0.1136, 0.1136, 0.1136)  3 C 1.96
Pt (0.8864, 0.8864, 0.8864)  3 C 1.96
C (0.4179, 0.4179, 0.4179)  3 Pt 1.96
C (0.5821, 0.5821, 0.5821)  3 Pt 1.96

Its symmetry is R-3m. The value obtained for the formation energy is 1.077 eV/atom.



The following is a GGA-PBEsol calculation of crystalline Pt5C at its relaxed geometry, from Alexandria via LeMat-Bulk.

a b c (Å): 7.1617 7.1617 4.5812
angles (deg): 90.00 90.00 157.83
With the nearest neighbours (Å) after each atom.
Fractional coordinates of all 6 atoms:
Pt (0.0000, 0.0000, 0.0000)  4 C 2.67, 10 Pt 2.75-2.77
Pt (0.1094, 0.8906, 0.5000)  2 C 2.06
Pt (0.3291, 0.6709, 0.0000)  10 Pt 2.62-2.81
Pt (0.6709, 0.3291, 0.0000)  10 Pt 2.62-2.81
Pt (0.8906, 0.1094, 0.5000)  2 C 2.06
C (0.5000, 0.5000, 0.5000)  4 Pt 2.06

Its symmetry is Cmmm. The value obtained for the formation energy is 0.585 eV/atom.



The following is a GGA-PBEsol calculation of crystalline PtC at its relaxed geometry, from Alexandria via LeMat-Bulk.

a b c (Å): 3.3509 3.3509 4.2008
angles (deg): 90.00 90.00 90.00
With the nearest neighbours (Å) after each atom.
Fractional coordinates of all 4 atoms:
Pt (0.2500, 0.2500, 0.2133)  4 C 2.06
Pt (0.7500, 0.7500, 0.7867)  4 C 2.06
C (0.2500, 0.7500, 0.5000)  4 Pt 2.06
C (0.7500, 0.2500, 0.5000)  4 Pt 2.06

Its symmetry is P4/nmm. The value obtained for the formation energy is 1.263 eV/atom.



The following is a GGA-PBEsol calculation of crystalline Rb2PtC2 at its relaxed geometry, from Alexandria via LeMat-Bulk.

a b c (Å): 5.3465 5.3465 5.1938
angles (deg): 90.00 90.00 120.00
With the nearest neighbours (Å) after each atom.
Fractional coordinates of all 5 atoms:
Rb (0.3333, 0.6667, 0.2748)  3 C 3.13, 3 Pt 3.40
Rb (0.6667, 0.3333, 0.7252)  3 C 3.13, 3 Pt 3.40
Pt (0.0000, 0.0000, 0.0000)  2 C 1.96
C (0.0000, 0.0000, 0.3771)  1 C 1.28
C (0.0000, 0.0000, 0.6229)  1 C 1.28

Its symmetry is P-3m1. The value obtained for the formation energy is -0.008 eV/atom.